(1)
VASP calculation (PBE) on crystalline CeGaBi2 at its relaxed geometry.

Cell lengths 3.4031, 3.4031, 36.3647 Å; angles 90.00, 90.00, 120.00 degrees
Space group R-3m (No. 166, hexagonal axes)
Unique sites:
Ce 0.0000 0.0000 0.0000
Ga 0.0000 0.0000 0.5000
Bi 0.0000 0.0000 0.0910


(2)
VASP calculation (PBE) on crystalline MgTcGe at its relaxed geometry.

Cell lengths 5.2638, 3.0316, 6.6568 Å; angles 90.00, 105.33, 90.00 degrees
Space group Cm (No. 8)
Unique sites:
Mg 0.0000 0.0000 0.0000
Tc 0.2187 0.0000 0.6572
Ge 0.4563 0.0000 0.3733


(3)
VASP calculation (PBE) on crystalline Cs4Cd at its relaxed geometry.

Cell lengths 7.8010, 7.8010, 7.8010 Å; angles 90.00, 90.00, 90.00 degrees
Space group Pm-3m (No. 221)
Unique sites:
Cs 0.0000 0.0000 0.0000
Cs 0.0000 0.5000 0.5000
Cd 0.5000 0.5000 0.5000


Calculated DFT formation energy in order - 16.4, 11.4, 1.0 kJ per mole of atoms
Calculated VASP energy in order - -16.0, -16.2, -4.3 eV/f.u.